No. 1
# BeHPt2, optimized geometry, DFT PBE-GGA
# Raw total energy: -4.95 eV/atom
# Total magnetization: 0.00 μB/f.u.
# Density of states at the Fermi level: 10.645 states/eV/cell
# E above lowest polymorph: 0.0000 eV per atom
# ρ: 15.10 Mg/m³
data_BeHPt2
_chemical_formula_sum 'Be4 H4 Pt8'
_cell_length_a 5.7065
_cell_length_b 5.7065
_cell_length_c 5.4071
_cell_angle_alpha 90.00
_cell_angle_beta 90.00
_cell_angle_gamma 90.00
_space_group_name_H-M_alt 'I -4 2 d'
_space_group_IT_number 122
_space_group_name_Hall 'I -4 2bw'
loop_
_atom_site_label
_atom_site_type_symbol
_atom_site_fract_x
_atom_site_fract_y
_atom_site_fract_z
Be1 Be 0.0000 0.0000 0.0000
H1 H 0.0000 0.0000 0.5000
Pt1 Pt 0.1861 0.7500 0.6250



No. 2
# BeHPt2, optimized geometry, DFT PBE-GGA
# Raw total energy: -4.64 eV/atom
# Total magnetization: 0.00 μB/f.u.
# Density of states at the Fermi level: 7.049 states/eV/cell
# E above lowest polymorph: 0.3117 eV per atom
# ρ: 13.27 Mg/m³
data_BeHPt2
_chemical_formula_sum 'Be2 H2 Pt4'
_cell_length_a 2.7355
_cell_length_b 4.6183
_cell_length_c 7.9294
_cell_angle_alpha 90.00
_cell_angle_beta 90.00
_cell_angle_gamma 90.00
_space_group_name_H-M_alt 'I m m m'
_space_group_IT_number 71
_space_group_name_Hall '-I 2 2'
loop_
_atom_site_label
_atom_site_type_symbol
_atom_site_fract_x
_atom_site_fract_y
_atom_site_fract_z
Be1 Be 0.0000 0.0000 0.0000
H1 H 0.0000 0.0000 0.5000
Pt1 Pt 0.0000 0.0000 0.2793



No. 3
# Be2HPt, optimized geometry, DFT PBE-GGA
# Raw total energy: -4.02 eV/atom
# Total magnetization: 0.00 μB/f.u.
# Density of states at the Fermi level: 4.473 states/eV/cell
# E above lowest polymorph: 0.3238 eV per atom
# ρ: 9.12 Mg/m³
data_Be2HPt
_chemical_formula_sum 'Be8 H4 Pt4'
_cell_length_a 5.3835
_cell_length_b 5.3835
_cell_length_c 5.3835
_cell_angle_alpha 90.00
_cell_angle_beta 90.00
_cell_angle_gamma 90.00
_space_group_name_H-M_alt 'F m -3 m'
_space_group_IT_number 225
_space_group_name_Hall '-F 4 2 3'
loop_
_atom_site_label
_atom_site_type_symbol
_atom_site_fract_x
_atom_site_fract_y
_atom_site_fract_z
Be1 Be 0.2500 0.2500 0.2500
H1 H 0.0000 0.0000 0.0000
Pt1 Pt 0.0000 0.0000 0.5000



No. 4
# BeHPt2, optimized geometry, DFT PBE-GGA
# Raw total energy: -4.89 eV/atom
# Total magnetization: 0.00 μB/f.u.
# Density of states at the Fermi level: 4.722 states/eV/cell
# E above lowest polymorph: 0.0690 eV per atom
# ρ: 15.41 Mg/m³
data_BeHPt2
_chemical_formula_sum 'Be4 H4 Pt8'
_cell_length_a 5.5667
_cell_length_b 5.5667
_cell_length_c 5.5667
_cell_angle_alpha 90.00
_cell_angle_beta 90.00
_cell_angle_gamma 90.00
_space_group_name_H-M_alt 'F m -3 m'
_space_group_IT_number 225
_space_group_name_Hall '-F 4 2 3'
loop_
_atom_site_label
_atom_site_type_symbol
_atom_site_fract_x
_atom_site_fract_y
_atom_site_fract_z
Be1 Be 0.0000 0.0000 0.0000
H1 H 0.0000 0.0000 0.5000
Pt1 Pt 0.2500 0.2500 0.2500



No. 5
# BeH2Pt, optimized geometry, DFT PBE-GGA
# Raw total energy: -3.67 eV/atom
# Total magnetization: 0.00 μB/f.u.
# Density of states at the Fermi level: 4.572 states/eV/cell
# E above lowest polymorph: 0.3244 eV per atom
# ρ: 10.97 Mg/m³
data_BeH2Pt
_chemical_formula_sum 'Be4 H8 Pt4'
_cell_length_a 4.9966
_cell_length_b 4.9966
_cell_length_c 4.9966
_cell_angle_alpha 90.00
_cell_angle_beta 90.00
_cell_angle_gamma 90.00
_space_group_name_H-M_alt 'F m -3 m'
_space_group_IT_number 225
_space_group_name_Hall '-F 4 2 3'
loop_
_atom_site_label
_atom_site_type_symbol
_atom_site_fract_x
_atom_site_fract_y
_atom_site_fract_z
Be1 Be 0.0000 0.0000 0.0000
H1 H 0.2500 0.2500 0.2500
Pt1 Pt 0.0000 0.0000 0.5000



No. 6
# Be2HPt, optimized geometry, DFT PBE-GGA
# Raw total energy: -4.15 eV/atom
# Total magnetization: 0.00 μB/f.u.
# Density of states at the Fermi level: 2.895 states/eV/cell
# E above lowest polymorph: 0.1990 eV per atom
# ρ: 6.70 Mg/m³
data_Be2HPt
_chemical_formula_sum 'Be6 H3 Pt3'
_cell_length_a 3.6679
_cell_length_b 3.6679
_cell_length_c 13.6560
_cell_angle_alpha 90.00
_cell_angle_beta 90.00
_cell_angle_gamma 120.00
_space_group_name_H-M_alt 'R -3 m'
_space_group_IT_number 166
_space_group_name_Hall '-R 3 2"'
loop_
_atom_site_label
_atom_site_type_symbol
_atom_site_fract_x
_atom_site_fract_y
_atom_site_fract_z
Be1 Be 0.0000 0.0000 0.1052
H1 H 0.0000 0.0000 0.0000
Pt1 Pt 0.0000 0.0000 0.5000



No. 7
# Be2HPt, optimized geometry, DFT PBE-GGA
# Raw total energy: -4.35 eV/atom
# Total magnetization: 0.00 μB/f.u.
# Density of states at the Fermi level: 4.334 states/eV/cell
# E above lowest polymorph: 0.0000 eV per atom
# ρ: 9.97 Mg/m³
data_Be2HPt
_chemical_formula_sum 'Be8 H4 Pt4'
_cell_length_a 5.0302
_cell_length_b 5.0302
_cell_length_c 5.6390
_cell_angle_alpha 90.00
_cell_angle_beta 90.00
_cell_angle_gamma 90.00
_space_group_name_H-M_alt 'I -4 2 d'
_space_group_IT_number 122
_space_group_name_Hall 'I -4 2bw'
loop_
_atom_site_label
_atom_site_type_symbol
_atom_site_fract_x
_atom_site_fract_y
_atom_site_fract_z
Be1 Be 0.1232 0.7500 0.1250
H1 H 0.0000 0.0000 0.0000
Pt1 Pt 0.0000 0.0000 0.5000



No. 8
# BeHPt2, optimized geometry, DFT PBE-GGA
# Raw total energy: -4.71 eV/atom
# Total magnetization: 0.00 μB/f.u.
# Density of states at the Fermi level: 5.557 states/eV/cell
# E above lowest polymorph: 0.2494 eV per atom
# ρ: 14.00 Mg/m³
data_BeHPt2
_chemical_formula_sum 'Be3 H3 Pt6'
_cell_length_a 2.8285
_cell_length_b 2.8285
_cell_length_c 20.5486
_cell_angle_alpha 90.00
_cell_angle_beta 90.00
_cell_angle_gamma 120.00
_space_group_name_H-M_alt 'R -3 m'
_space_group_IT_number 166
_space_group_name_Hall '-R 3 2"'
loop_
_atom_site_label
_atom_site_type_symbol
_atom_site_fract_x
_atom_site_fract_y
_atom_site_fract_z
Be1 Be 0.0000 0.0000 0.0000
H1 H 0.0000 0.0000 0.5000
Pt1 Pt 0.0000 0.0000 0.1026